A:
TbHo2Te: relaxed, PBE.

Properties
**Total magnetization**: 1.254 μB/f.u.

```
data_TbHo2Te
_chemical_formula_sum 'Tb3 Ho6 Te3'
_cell_length_a 3.7908
_cell_length_b 3.7908
_cell_length_c 32.2568
_cell_angle_alpha 90.00
_cell_angle_beta 90.00
_cell_angle_gamma 120.00
_symmetry_space_group_name_H-M 'R -3 m'
_symmetry_Int_Tables_number 166
_symmetry_space_group_name_Hall '-R 3 2"'
loop_
_atom_site_label
_atom_site_fract_x
_atom_site_fract_y
_atom_site_fract_z
Tb1 0.0000 0.0000 0.0000
Ho1 0.0000 0.0000 0.1025
Te1 0.0000 0.0000 0.5000
```

B:
TbHo2Te: relaxed, PBE.

Properties
**Total magnetization**: 0.002 μB/f.u.

```
data_TbHo2Te
_chemical_formula_sum 'Tb3 Ho6 Te3'
_cell_length_a 3.8644
_cell_length_b 3.8644
_cell_length_c 29.2490
_cell_angle_alpha 90.00
_cell_angle_beta 90.00
_cell_angle_gamma 120.00
_symmetry_space_group_name_H-M 'R 3 m'
_symmetry_Int_Tables_number 160
_symmetry_space_group_name_Hall 'R 3 -2"'
loop_
_atom_site_label
_atom_site_fract_x
_atom_site_fract_y
_atom_site_fract_z
Tb1 0.0000 0.0000 0.0000
Ho1 0.0000 0.0000 0.5727
Ho2 0.0000 0.0000 0.7613
Te1 0.0000 0.0000 0.1669
```

Most stable structure: B

A:
TbHo2Te3: relaxed, PBE.

Properties
**Total magnetization**: 0.000 μB/f.u.

```
data_TbHo2Te3
_chemical_formula_sum 'Tb6 Ho12 Te18'
_cell_length_a 7.2434
_cell_length_b 7.2434
_cell_length_c 23.2120
_cell_angle_alpha 90.00
_cell_angle_beta 90.00
_cell_angle_gamma 120.00
_symmetry_space_group_name_H-M 'R -3 c'
_symmetry_Int_Tables_number 167
_symmetry_space_group_name_Hall '-R 3 2"c'
loop_
_atom_site_label
_atom_site_fract_x
_atom_site_fract_y
_atom_site_fract_z
Tb1 0.0000 0.0000 0.0000
Ho1 0.0000 0.0000 0.1662
Te1 0.0000 0.3311 0.2500
```

B:
TbHo2Te3: relaxed, PBE.

Properties
**Total magnetization**: 0.000 μB/f.u.

```
data_TbHo2Te3
_chemical_formula_sum 'Tb2 Ho4 Te6'
_cell_length_a 4.3831
_cell_length_b 6.1253
_cell_length_c 12.9763
_cell_angle_alpha 90.00
_cell_angle_beta 90.00
_cell_angle_gamma 90.00
_symmetry_space_group_name_H-M 'I m m m'
_symmetry_Int_Tables_number 71
_symmetry_space_group_name_Hall '-I 2 2'
loop_
_atom_site_label
_atom_site_fract_x
_atom_site_fract_y
_atom_site_fract_z
Tb1 0.0000 0.0000 0.0000
Ho1 0.0000 0.0000 0.3376
Te1 0.0000 0.5000 0.0000
Te2 0.0000 0.5000 0.3302
```

Most stable structure: A

A:
TbHoTe2: relaxed, PBE.

Properties
**Total magnetization**: 1.099 μB/f.u.

```
data_TbHoTe2
_chemical_formula_sum 'Tb1 Ho1 Te2'
_cell_length_a 5.3470
_cell_length_b 5.3470
_cell_length_c 3.7777
_cell_angle_alpha 90.00
_cell_angle_beta 90.00
_cell_angle_gamma 90.00
_symmetry_space_group_name_H-M 'P 4/m m m'
_symmetry_Int_Tables_number 123
_symmetry_space_group_name_Hall '-P 4 2'
loop_
_atom_site_label
_atom_site_fract_x
_atom_site_fract_y
_atom_site_fract_z
Tb1 0.0000 0.0000 0.0000
Ho1 0.5000 0.5000 0.0000
Te1 0.0000 0.5000 0.5000
```

B:
TbHoTe2: relaxed, PBE.

Properties
**Total magnetization**: 0.000 μB/f.u.

```
data_TbHoTe2
_chemical_formula_sum 'Tb3 Ho3 Te6'
_cell_length_a 4.3623
_cell_length_b 4.3623
_cell_length_c 21.2250
_cell_angle_alpha 90.00
_cell_angle_beta 90.00
_cell_angle_gamma 120.00
_symmetry_space_group_name_H-M 'R -3 m'
_symmetry_Int_Tables_number 166
_symmetry_space_group_name_Hall '-R 3 2"'
loop_
_atom_site_label
_atom_site_fract_x
_atom_site_fract_y
_atom_site_fract_z
Tb1 0.0000 0.0000 0.0000
Ho1 0.0000 0.0000 0.5000
Te1 0.0000 0.0000 0.2489
```

Most stable structure: B

A:
Tb3Ho7Th: relaxed, PBE.

Properties
**Total magnetization**: 0.002 μB/f.u.

```
data_Tb3Ho7Th
_chemical_formula_sum 'Tb3 Ho7 Th1'
_cell_length_a 7.0139
_cell_length_b 7.0139
_cell_length_c 8.6195
_cell_angle_alpha 90.00
_cell_angle_beta 90.00
_cell_angle_gamma 120.00
_symmetry_space_group_name_H-M 'P 3 m 1'
_symmetry_Int_Tables_number 156
loop_
_symmetry_equiv_pos_as_xyz
'x,y,z'
'-y,x-y,z'
'-x+y,-x,z'
'-y,-x,z'
'-x+y,y,z'
'x,x-y,z'
loop_
_atom_site_label
_atom_site_fract_x
_atom_site_fract_y
_atom_site_fract_z
Tb1 0.0031 0.5015 0.0000
Ho1 0.1692 0.3384 0.3392
Ho2 0.3351 0.1675 0.6664
Ho3 0.6667 0.3333 0.3350
Th1 0.3333 0.6667 0.6665
```

B:
Tb3Ho7Th: relaxed, PBE.

Properties
**Total magnetization**: 0.000 μB/f.u.

```
data_Tb3Ho7Th
_chemical_formula_sum 'Tb3 Ho7 Th1'
_cell_length_a 6.9325
_cell_length_b 5.4768
_cell_length_c 9.9513
_cell_angle_alpha 90.00
_cell_angle_beta 110.16
_cell_angle_gamma 90.00
_symmetry_space_group_name_H-M 'P 1 2/m 1'
_symmetry_Int_Tables_number 10
loop_
_symmetry_equiv_pos_as_xyz
'x,y,z'
'-x,-y,-z'
'-x,y,-z'
'x,-y,z'
loop_
_atom_site_label
_atom_site_fract_x
_atom_site_fract_y
_atom_site_fract_z
Tb1 0.0000 0.0000 0.0000
Tb2 0.2787 0.5000 0.4961
Ho1 0.0000 0.0000 0.5000
Ho2 0.1563 0.5000 0.7905
Ho3 0.3136 0.5000 0.1395
Ho4 0.4208 0.0000 0.3295
Th1 0.5000 0.0000 0.0000
```

Most stable structure: B

A:
TbHo4Th3: relaxed, PBE.

Properties
**Total magnetization**: 0.000 μB/f.u.

```
data_TbHo4Th3
_chemical_formula_sum 'Tb2 Ho8 Th6'
_cell_length_a 11.5521
_cell_length_b 7.1321
_cell_length_c 6.2235
_cell_angle_alpha 90.00
_cell_angle_beta 90.00
_cell_angle_gamma 90.00
_symmetry_space_group_name_H-M 'P m n 21'
_symmetry_Int_Tables_number 31
loop_
_symmetry_equiv_pos_as_xyz
'x,y,z'
'-x+1/2,-y,z+1/2'
'-x,y,z'
'x+1/2,-y,z+1/2'
loop_
_atom_site_label
_atom_site_fract_x
_atom_site_fract_y
_atom_site_fract_z
Tb1 0.0000 0.1233 0.0000
Ho1 0.0000 0.3729 0.4884
Ho2 0.0000 0.6316 0.9897
Ho3 0.2498 0.3722 0.8298
Th1 0.0000 0.8766 0.4979
Th2 0.2505 0.1158 0.3205
```

B:
TbHo4Th3: relaxed, PBE.

Properties
**Total magnetization**: 0.000 μB/f.u.

```
data_TbHo4Th3
_chemical_formula_sum 'Tb2 Ho8 Th6'
_cell_length_a 23.2820
_cell_length_b 3.5651
_cell_length_c 6.0948
_cell_angle_alpha 90.00
_cell_angle_beta 95.07
_cell_angle_gamma 90.00
_symmetry_space_group_name_H-M 'C 1 2/m 1'
_symmetry_Int_Tables_number 12
loop_
_symmetry_equiv_pos_as_xyz
'x,y,z'
'-x,-y,-z'
'-x,y,-z'
'x,-y,z'
'x+1/2,y+1/2,z'
'-x+1/2,-y+1/2,-z'
'-x+1/2,y+1/2,-z'
'x+1/2,-y+1/2,z'
loop_
_atom_site_label
_atom_site_fract_x
_atom_site_fract_y
_atom_site_fract_z
Tb1 0.0000 0.0000 0.0000
Ho1 0.1247 0.5000 0.8747
Ho2 0.2504 0.0000 0.7450
Th1 0.0000 0.5000 0.5000
Th2 0.1246 0.0000 0.3760
```

Most stable structure: B

A:
Tb4Ho3Th2: relaxed, PBE.

Properties
**Total magnetization**: 0.000 μB/f.u.

```
data_Tb4Ho3Th2
_chemical_formula_sum 'Tb4 Ho3 Th2'
_cell_length_a 3.5525
_cell_length_b 3.5525
_cell_length_c 26.4528
_cell_angle_alpha 90.00
_cell_angle_beta 90.00
_cell_angle_gamma 120.00
_symmetry_space_group_name_H-M 'P 3 m 1'
_symmetry_Int_Tables_number 156
loop_
_symmetry_equiv_pos_as_xyz
'x,y,z'
'-y,x-y,z'
'-x+y,-x,z'
'-y,-x,z'
'-x+y,y,z'
'x,x-y,z'
loop_
_atom_site_label
_atom_site_fract_x
_atom_site_fract_y
_atom_site_fract_z
Tb1 0.0000 0.0000 0.0000
Tb2 0.0000 0.0000 0.2145
Tb3 0.3333 0.6667 0.3234
Tb4 0.3333 0.6667 0.5398
Ho1 0.0000 0.0000 0.4311
Ho2 0.3333 0.6667 0.1059
Ho3 0.3333 0.6667 0.7611
Th1 0.0000 0.0000 0.6501
Th2 0.0000 0.0000 0.8711
```

B:
Tb4Ho3Th2: relaxed, PBE.

Properties
**Total magnetization**: 0.000 μB/f.u.

```
data_Tb4Ho3Th2
_chemical_formula_sum 'Tb8 Ho6 Th4'
_cell_length_a 18.6026
_cell_length_b 3.5884
_cell_length_c 9.5028
_cell_angle_alpha 90.00
_cell_angle_beta 115.70
_cell_angle_gamma 90.00
_symmetry_space_group_name_H-M 'C 1 2/m 1'
_symmetry_Int_Tables_number 12
loop_
_symmetry_equiv_pos_as_xyz
'x,y,z'
'-x,-y,-z'
'-x,y,-z'
'x,-y,z'
'x+1/2,y+1/2,z'
'-x+1/2,-y+1/2,-z'
'-x+1/2,y+1/2,-z'
'x+1/2,-y+1/2,z'
loop_
_atom_site_label
_atom_site_fract_x
_atom_site_fract_y
_atom_site_fract_z
Tb1 0.0178 0.0000 0.3332
Tb2 0.1850 0.5000 0.3293
Ho1 0.0000 0.5000 0.0000
Ho2 0.1497 0.5000 0.6714
Th1 0.1678 0.0000 0.9996
```

Most stable structure: B

A:
Tb3Ho4Th: relaxed, PBE.

Properties
**Total magnetization**: 0.001 μB/f.u.

```
data_Tb3Ho4Th
_chemical_formula_sum 'Tb6 Ho8 Th2'
_cell_length_a 11.3621
_cell_length_b 7.2154
_cell_length_c 6.2369
_cell_angle_alpha 90.00
_cell_angle_beta 90.00
_cell_angle_gamma 90.00
_symmetry_space_group_name_H-M 'P m n 21'
_symmetry_Int_Tables_number 31
loop_
_symmetry_equiv_pos_as_xyz
'x,y,z'
'-x+1/2,-y,z+1/2'
'-x,y,z'
'x+1/2,-y,z+1/2'
loop_
_atom_site_label
_atom_site_fract_x
_atom_site_fract_y
_atom_site_fract_z
Tb1 0.0000 0.1224 0.0000
Tb2 0.2493 0.1230 0.3300
Ho1 0.0000 0.3752 0.5000
Ho2 0.0000 0.6281 0.0009
Ho3 0.2490 0.6262 0.3407
Th1 0.0000 0.8761 0.5024
```

B:
Tb3Ho4Th: relaxed, PBE.

Properties
**Total magnetization**: 0.000 μB/f.u.

```
data_Tb3Ho4Th
_chemical_formula_sum 'Tb6 Ho8 Th2'
_cell_length_a 23.2337
_cell_length_b 3.4442
_cell_length_c 6.7162
_cell_angle_alpha 90.00
_cell_angle_beta 106.75
_cell_angle_gamma 90.00
_symmetry_space_group_name_H-M 'C 1 2/m 1'
_symmetry_Int_Tables_number 12
loop_
_symmetry_equiv_pos_as_xyz
'x,y,z'
'-x,-y,-z'
'-x,y,-z'
'x,-y,z'
'x+1/2,y+1/2,z'
'-x+1/2,-y+1/2,-z'
'-x+1/2,y+1/2,-z'
'x+1/2,-y+1/2,z'
loop_
_atom_site_label
_atom_site_fract_x
_atom_site_fract_y
_atom_site_fract_z
Tb1 0.0000 0.0000 0.0000
Tb2 0.1240 0.0000 0.8645
Ho1 0.1245 0.0000 0.3849
Ho2 0.2412 0.5000 0.7399
Th1 0.0000 0.5000 0.5000
```

Most stable structure: A

A:
Tb7Ho2Th: relaxed, PBE.

Properties
**Total magnetization**: 0.000 μB/f.u.

```
data_Tb7Ho2Th
_chemical_formula_sum 'Tb7 Ho2 Th1'
_cell_length_a 3.5656
_cell_length_b 7.9188
_cell_length_c 11.8055
_cell_angle_alpha 101.52
_cell_angle_beta 90.05
_cell_angle_gamma 103.01
_symmetry_space_group_name_H-M 'P -1'
_symmetry_Int_Tables_number 2
loop_
_symmetry_equiv_pos_as_xyz
'x,y,z'
'-x,-y,-z'
loop_
_atom_site_label
_atom_site_fract_x
_atom_site_fract_y
_atom_site_fract_z
Tb1 0.0000 0.0000 0.0000
Tb2 0.0993 0.1982 0.3024
Tb3 0.3004 0.6014 0.9016
Tb4 0.4005 0.8004 0.2018
Ho1 0.1962 0.3926 0.5992
Th1 0.5000 0.0000 0.5000
```

B:
Tb7Ho2Th: relaxed, PBE.

Properties
**Total magnetization**: 0.007 μB/f.u.

```
data_Tb7Ho2Th
_chemical_formula_sum 'Tb14 Ho4 Th2'
_cell_length_a 8.7305
_cell_length_b 17.0335
_cell_length_c 5.2480
_cell_angle_alpha 90.00
_cell_angle_beta 90.00
_cell_angle_gamma 90.00
_symmetry_space_group_name_H-M 'C m m m'
_symmetry_Int_Tables_number 65
_symmetry_space_group_name_Hall '-C 2 2'
loop_
_atom_site_label
_atom_site_fract_x
_atom_site_fract_y
_atom_site_fract_z
Tb1 0.0000 0.0000 0.0000
Tb2 0.0000 0.3018 0.5000
Tb3 0.1782 0.3910 0.0000
Ho1 0.0000 0.2016 0.0000
Th1 0.0000 0.5000 0.5000
```

Most stable structure: A